No. 1
# Rb4Np3CdSe8 | the Alexandria database | PBE | relaxed
data_Rb4Np3CdSe8
_chemical_formula_sum 'Rb4 Np3 Cd1 Se8'
_symmetry_space_group_name_H-M 'P 1'
_symmetry_Int_Tables_number 1
_cell_length_a 8.587
_cell_length_b 9.374
_cell_length_c 8.585
_cell_angle_alpha 117.24
_cell_angle_beta 120.01
_cell_angle_gamma 90.00
loop_
_symmetry_equiv_pos_as_xyz
'x,y,z'
loop_
_atom_site_label
_atom_site_fract_x
_atom_site_fract_y
_atom_site_fract_z
Rb1 0.500 0.000 0.000
Rb2 0.500 0.000 0.500
Rb3 0.000 0.000 0.000
Rb4 0.000 0.000 0.500
Np1 0.500 0.500 0.000
Np2 0.500 0.500 0.500
Np3 0.000 0.500 0.500
Cd1 0.000 0.500 0.000
Se1 0.234 0.694 0.961
Se2 0.233 0.694 0.466
Se3 0.269 0.306 0.537
Se4 0.727 0.694 0.961
Se5 0.273 0.306 0.039
Se6 0.731 0.694 0.463
Se7 0.767 0.306 0.534
Se8 0.766 0.306 0.039
# Space group   R-3m (166)
# Formation energy without anion corrections   -1.140 eV/atom


No. 2
# Nd2SmMg | the Alexandria database | PBE | relaxed
data_Nd2SmMg
_chemical_formula_sum 'Nd2 Sm1 Mg1'
_symmetry_space_group_name_H-M 'P 1'
_symmetry_Int_Tables_number 1
_cell_length_a 5.652
_cell_length_b 5.652
_cell_length_c 5.652
_cell_angle_alpha 60.00
_cell_angle_beta 60.00
_cell_angle_gamma 60.00
loop_
_symmetry_equiv_pos_as_xyz
'x,y,z'
loop_
_atom_site_label
_atom_site_fract_x
_atom_site_fract_y
_atom_site_fract_z
Mg1 0.500 0.500 0.500
Nd1 0.250 0.250 0.250
Nd2 0.750 0.750 0.750
Sm1 0.000 0.000 0.000
# Space group   Fm-3m (225)
# Energy relative to the lowest polymorph listed for this composition   83 meV/atom
# ΔH_f (0 K)   44.4 meV/atom


No. 3
# YAgP2 | the Alexandria database | PBE | relaxed
data_YAgP2
_chemical_formula_sum 'Y1 Ag1 P2'
_symmetry_space_group_name_H-M 'P 1'
_symmetry_Int_Tables_number 1
_cell_length_a 3.884
_cell_length_b 3.884
_cell_length_c 5.580
_cell_angle_alpha 90.00
_cell_angle_beta 90.00
_cell_angle_gamma 90.00
loop_
_symmetry_equiv_pos_as_xyz
'x,y,z'
loop_
_atom_site_label
_atom_site_fract_x
_atom_site_fract_y
_atom_site_fract_z
Ag1 0.500 0.500 0.854
P1 0.000 0.000 0.895
P2 0.500 0.500 0.349
Y1 0.000 0.000 0.402
# Space group   P4mm (99)
# ΔH_f (0 K)   -459.1 meV/atom


No. 4
# Ac6Tl3Co | the Alexandria database | PBE | relaxed
data_Ac6Tl3Co
_chemical_formula_sum 'Ac12 Tl6 Co2'
_symmetry_space_group_name_H-M 'P 1'
_symmetry_Int_Tables_number 1
_cell_length_a 8.344
_cell_length_b 9.900
_cell_length_c 9.900
_cell_angle_alpha 105.20
_cell_angle_beta 90.00
_cell_angle_gamma 90.00
loop_
_symmetry_equiv_pos_as_xyz
'x,y,z'
loop_
_atom_site_label
_atom_site_fract_x
_atom_site_fract_y
_atom_site_fract_z
Ac1 0.204 0.667 0.644
Ac2 0.704 0.644 0.667
Ac3 0.134 0.392 0.937
Ac4 0.634 0.937 0.392
Ac5 0.234 0.005 0.995
Ac6 0.722 0.242 0.758
Ac7 0.222 0.758 0.242
Ac8 0.734 0.995 0.005
Ac9 0.134 0.063 0.608
Ac10 0.634 0.608 0.063
Ac11 0.204 0.356 0.333
Ac12 0.704 0.333 0.356
Tl1 0.481 0.939 0.712
Tl2 0.981 0.712 0.939
Tl3 0.404 0.364 0.636
Tl4 0.904 0.636 0.364
Tl5 0.981 0.061 0.288
Tl6 0.481 0.288 0.061
Co1 0.988 0.135 0.865
Co2 0.488 0.865 0.135
# Space group   Cmc2_1 (36)
# Energy relative to the lowest polymorph listed for this composition   145 meV/atom
# ΔH_f (0 K)   -26.6 meV/atom


No. 5
# ScNi2PH | the Alexandria database | PBE | relaxed
data_ScNi2PH
_chemical_formula_sum 'Sc2 Ni4 P2 H2'
_symmetry_space_group_name_H-M 'P 1'
_symmetry_Int_Tables_number 1
_cell_length_a 3.610
_cell_length_b 5.117
_cell_length_c 6.531
_cell_angle_alpha 90.00
_cell_angle_beta 90.00
_cell_angle_gamma 110.65
loop_
_symmetry_equiv_pos_as_xyz
'x,y,z'
loop_
_atom_site_label
_atom_site_fract_x
_atom_site_fract_y
_atom_site_fract_z
Sc1 0.443 0.885 0.750
Sc2 0.557 0.115 0.250
Ni1 0.163 0.326 0.942
Ni2 0.837 0.674 0.058
Ni3 0.163 0.326 0.558
Ni4 0.837 0.674 0.442
P1 0.725 0.451 0.750
P2 0.275 0.549 0.250
H1 0.000 0.000 0.000
H2 0.000 0.000 0.500
# Space group   Cmcm (63)


No. 6
# UTc2P2 | the Alexandria database | PBE | relaxed
data_UTc2P2
_chemical_formula_sum 'U2 Tc4 P4'
_symmetry_space_group_name_H-M 'P 1'
_symmetry_Int_Tables_number 1
_cell_length_a 4.205
_cell_length_b 4.217
_cell_length_c 9.073
_cell_angle_alpha 92.79
_cell_angle_beta 90.00
_cell_angle_gamma 90.00
loop_
_symmetry_equiv_pos_as_xyz
'x,y,z'
loop_
_atom_site_label
_atom_site_fract_x
_atom_site_fract_y
_atom_site_fract_z
U1 0.250 0.734 0.265
U2 0.750 0.266 0.735
Tc1 0.250 0.841 0.903
Tc2 0.750 0.159 0.097
Tc3 0.250 0.252 0.500
Tc4 0.750 0.748 0.500
P1 0.250 0.765 0.641
P2 0.750 0.235 0.359
P3 0.250 0.337 0.016
P4 0.750 0.663 0.984
# Space group   P2_1/m (11)
# ΔH_f (0 K)   -679.6 meV/atom


no.,density of states at the Fermi level (states/eV/atom),electronic total energy (eV/cell)
1,1.724,-89.72
2,1.502,-15.67
3,0.395,-21.97
4,1.128,-78.24
5,0.452,-61.33
6,1.159,-92.48